1.
Below is a relaxed structure of Er2RuBr, with properties calculated at the PBE level.

a = 8.013 Å, b = 8.013 Å, c = 8.013 Å
α = 28.41°, β = 28.41°, γ = 28.41°
Element x y z (fractional)
1 Er 0.000 0.000 0.000
2 Er 0.205 0.205 0.205
3 Ru 0.602 0.602 0.602
4 Br 0.434 0.434 0.434

Space group: No. 160
Total DFT energy (no corrections) in eV per atom: -5.748
Total moment in Bohr magnetons per cell: 0.00
ΔE_f (raw) in meV/atom: -729.0

---

2.
Below is a relaxed structure of Er2RuBr, with properties calculated at the PBE level.

a = 3.374 Å, b = 3.374 Å, c = 8.122 Å
α = 90.00°, β = 90.00°, γ = 90.00°
Element x y z (fractional)
1 Er 0.000 0.000 0.204
2 Er 0.000 0.000 0.796
3 Ru 0.500 0.500 0.000
4 Br 0.500 0.500 0.500

Space group: No. 123
Total DFT energy (no corrections) in eV per atom: -5.803
Total moment in Bohr magnetons per cell: 0.00
ΔE_f (raw) in meV/atom: -784.8

---

3.
Below is a relaxed structure of ErRuBr, with properties calculated at the PBE level.

a = 3.659 Å, b = 3.659 Å, c = 13.756 Å
α = 97.06°, β = 97.06°, γ = 59.37°
Element x y z (fractional)
1 Er 0.134 0.134 0.399
2 Er 0.866 0.866 0.601
3 Ru 0.154 0.154 0.962
4 Ru 0.846 0.846 0.038
5 Br 0.416 0.416 0.252
6 Br 0.584 0.584 0.748

Space group: No. 12
Total DFT energy (no corrections) in eV per atom: -5.279
Total moment in Bohr magnetons per cell: 0.67
ΔE_f (raw) in meV/atom: -108.1

---

4.
Below is a relaxed structure of Er2RuBr, with properties calculated at the PBE level.

a = 7.958 Å, b = 7.958 Å, c = 7.958 Å
α = 28.64°, β = 28.64°, γ = 28.64°
Element x y z (fractional)
1 Er 0.231 0.231 0.231
2 Er 0.769 0.769 0.769
3 Ru 0.500 0.500 0.500
4 Br 0.000 0.000 0.000

Space group: No. 166
Total DFT energy (no corrections) in eV per atom: -5.768
Total moment in Bohr magnetons per cell: 0.00
ΔE_f (raw) in meV/atom: -749.2

---

5.
Below is a relaxed structure of ErSBr, with properties calculated at the PBE level.

a = 7.418 Å, b = 7.418 Å, c = 6.985 Å
α = 92.58°, β = 92.58°, γ = 31.33°
Element x y z (fractional)
1 Er 0.000 0.000 0.000
2 Er 0.500 0.500 0.500
3 S 0.091 0.091 0.686
4 S 0.909 0.909 0.314
5 Br 0.379 0.379 0.830
6 Br 0.621 0.621 0.170

Space group: No. 12
Total DFT energy (no corrections) in eV per atom: -5.320
Total moment in Bohr magnetons per cell: 0.00
ΔE_f (raw) in meV/atom: -1865.6

---

6.
Below is a relaxed structure of Er2SBr2, with properties calculated at the PBE level.

a = 3.924 Å, b = 3.924 Å, c = 11.072 Å
α = 101.34°, β = 101.34°, γ = 60.02°
Element x y z (fractional)
1 Er 0.215 0.215 0.131
2 Er 0.785 0.785 0.869
3 S 0.500 0.500 0.000
4 Br 0.055 0.055 0.699
5 Br 0.945 0.945 0.301

Space group: No. 12
Total DFT energy (no corrections) in eV per atom: -5.140
Total moment in Bohr magnetons per cell: 0.00
ΔE_f (raw) in meV/atom: -1820.0

---

7.
Below is a relaxed structure of ErSBr, with properties calculated at the PBE level.

a = 4.028 Å, b = 4.028 Å, c = 6.737 Å
α = 90.00°, β = 90.00°, γ = 120.00°
Element x y z (fractional)
1 Er 0.000 0.000 0.000
2 S 0.667 0.333 0.179
3 Br 0.333 0.667 0.730

Space group: No. 156
Total DFT energy (no corrections) in eV per atom: -5.395
Total moment in Bohr magnetons per cell: 0.00
ΔE_f (raw) in meV/atom: -1941.0

---

8.
Below is a relaxed structure of ErS6Br2, with properties calculated at the PBE level.

a = 4.158 Å, b = 8.443 Å, c = 9.110 Å
α = 116.02°, β = 93.16°, γ = 91.69°
Element x y z (fractional)
1 Er 0.000 0.000 0.000
2 S 0.099 0.499 0.722
3 S 0.099 0.718 0.462
4 S 0.125 0.291 0.295
5 S 0.875 0.709 0.705
6 S 0.901 0.282 0.538
7 S 0.901 0.501 0.278
8 Br 0.500 0.138 0.883
9 Br 0.500 0.862 0.117

Space group: No. 2
Total DFT energy (no corrections) in eV per atom: -4.169
Total moment in Bohr magnetons per cell: 0.98
ΔE_f (raw) in meV/atom: -538.5

---

Q: Look up the total DFT energy (no corrections) of the fourth one.
A: -5.768 eV per atom